VASP calculation (GGA-PBEsol) on Na3Ti2P3O12 after structural relaxation.

E_form (uncorrected), eV/atom: -2.422

Cell: 8.8889 8.8889 8.9936 Å, 60.38 60.38 60.00°
Atoms (fractional coordinates):
O1 0.7464 0.4827 0.9127
O2 0.5585 0.8000 0.2142
O3 0.2236 0.3689 0.4201
O4 0.8583 0.7464 0.9127
O5 0.4273 0.5585 0.2142
O6 0.9163 0.2848 0.7227
O7 0.8000 0.4273 0.2142
O8 0.2848 0.0762 0.7227
O9 0.4415 0.2000 0.7858
O10 0.7152 0.9238 0.2773
O11 0.2000 0.5727 0.7858
O12 0.5173 0.1417 0.0873
O13 0.4827 0.8583 0.9127
O14 0.9238 0.0837 0.2773
O15 0.1417 0.2536 0.0873
O16 0.0837 0.7152 0.2773
O17 0.5727 0.4415 0.7858
O18 0.0126 0.7764 0.5799
O19 0.6311 0.0126 0.5799
O20 0.2536 0.5173 0.0873
O21 0.3689 0.9874 0.4201
O22 0.9874 0.2236 0.4201
O23 0.7764 0.6311 0.5799
O24 0.0762 0.9163 0.7227
Na1 0.1111 0.3628 0.7767
Na2 0.3628 0.7494 0.7767
Na3 0.8889 0.6372 0.2233
Na4 0.6372 0.2506 0.2233
Na5 0.7494 0.1111 0.7767
Na6 0.2506 0.8889 0.2233
P1 0.4614 0.0380 0.7487
P2 0.9620 0.2482 0.2513
P3 0.0380 0.7518 0.7487
P4 0.5386 0.9620 0.2513
P5 0.2482 0.5386 0.2513
P6 0.7518 0.4614 0.7487
Ti1 0.3513 0.3513 0.9461
Ti2 0.6487 0.6487 0.0539
Ti3 0.1479 0.1479 0.5562
Ti4 0.8521 0.8521 0.4438

---

VASP calculation (GGA-PBEsol) on Ba2TmCu4O8 after structural relaxation.

E_form (uncorrected), eV/atom: -1.711

Cell: 3.8104 3.8368 13.5447 Å, 81.86 90.00 90.00°
Atoms (fractional coordinates):
O1 0.5000 0.0513 0.8975
O2 0.0000 0.4488 0.1024
O3 0.0000 0.8559 0.2881
O4 0.0000 0.7179 0.5643
O5 0.0000 0.2821 0.4357
O6 0.0000 0.5512 0.8976
O7 0.0000 0.1441 0.7119
O8 0.5000 0.9487 0.1025
Tm1 0.5000 0.5000 0.0000
Ba1 0.5000 0.3648 0.2704
Ba2 0.5000 0.6352 0.7296
Cu1 0.0000 0.7877 0.4246
Cu2 0.0000 0.9392 0.1217
Cu3 0.0000 0.2123 0.5754
Cu4 0.0000 0.0608 0.8783

---

VASP calculation (GGA-PBEsol) on KSr3 after structural relaxation.

Energy relative to the lowest polymorph listed for this composition, kJ/mol of formula units: 12.2
Formation energy, eV per atom: 0.082

Cell: 4.2135 6.1068 8.5548 Å, 90.00 90.00 90.00°
Atoms (fractional coordinates):
K1 0.0000 0.0000 0.0000
Sr1 0.5000 0.5000 0.7392
Sr2 0.0000 0.0000 0.5000
Sr3 0.5000 0.5000 0.2608

---

VASP calculation (GGA-PBEsol) on CuSiBr2 after structural relaxation.

E_form (uncorrected), eV/atom: 0.297

Cell: 6.0237 6.0237 6.0237 Å, 111.83 108.30 108.30°
Atoms (fractional coordinates):
Br1 0.0381 0.3750 0.9131
Br2 0.5381 0.6631 0.6250
Br3 0.4619 0.0869 0.1250
Br4 0.9619 0.8750 0.3369
Cu1 0.0000 0.0000 0.0000
Cu2 0.5000 0.7500 0.2500
Si1 0.5000 0.2500 0.7500
Si2 0.0000 0.5000 0.5000

---

Number 1: raw total energy -299.3 eV for the cell shown. Number 2: raw total energy -94.2 eV for the cell shown. Number 3: raw total energy -6.3 eV for the cell shown. Number 4: raw total energy -25.3 eV for the cell shown.